Entry 1:
{"formula": "LaTaWC2", "functional": "PBE", "state": "optimized geometry", "sg": "P4/mmm (123)", "magmom_total_mub_per_cell": 0.000, "formation_energy_mev_per_atom": 1290.3, "dos_at_fermi_per_ev_fu": 5.1, "total_energy_ev_per_atom": -8.346, "lattice_angstrom": [[-3.547, -2.098, 0.876], [0.709, -2.926, -4.139], [2.198, -2.747, 2.319]], "species": ["C", "W", "La", "Ta", "C"], "frac_coords": [[0.000, 0.000, 0.500], [0.000, 0.000, 0.000], [0.500, 0.500, 0.500], [0.000, 0.500, 0.000], [0.500, 0.000, 0.000]]}

---

Entry 2:
{"formula": "MgCr2Cu", "functional": "PBE", "state": "optimized geometry", "sg": "Pmmm (47)", "magmom_total_mub_per_cell": 0.000, "formation_energy_mev_per_atom": 468.2, "dos_at_fermi_per_ev_fu": 3.9, "total_energy_ev_per_atom": -5.766, "lattice_angstrom": [[-0.090, 2.488, -0.048], [-3.036, -0.169, -3.043], [-3.470, -0.059, 3.466]], "species": ["Cr", "Cu", "Mg", "Cr"], "frac_coords": [[0.000, 0.000, 0.488], [0.500, 0.500, 0.250], [0.500, 0.500, 0.750], [0.000, 0.000, 0.012]]}

---

Entry 3:
{"formula": "LiTaF6", "functional": "PBE", "state": "optimized geometry", "sg": "Fm-3m (225)", "magmom_total_mub_per_cell": 0.000, "dos_at_fermi_per_ev_fu": 0.0, "total_energy_ev_per_atom": -6.390, "lattice_angstrom": [[5.619, 0.000, 0.000], [2.810, 4.866, 0.000], [2.810, 1.623, 4.587]], "species": ["F", "F", "Li", "F", "F", "F", "Ta", "F"], "frac_coords": [[0.742, 0.258, 0.742], [0.258, 0.742, 0.742], [0.000, 0.000, 0.000], [0.742, 0.742, 0.258], [0.258, 0.258, 0.742], [0.742, 0.258, 0.258], [0.500, 0.500, 0.500], [0.258, 0.742, 0.258]]}

---

Please write out number 2 again, unchanged.
{"formula": "MgCr2Cu", "functional": "PBE", "state": "optimized geometry", "sg": "Pmmm (47)", "magmom_total_mub_per_cell": 0.000, "formation_energy_mev_per_atom": 468.2, "dos_at_fermi_per_ev_fu": 3.9, "total_energy_ev_per_atom": -5.766, "lattice_angstrom": [[-0.090, 2.488, -0.048], [-3.036, -0.169, -3.043], [-3.470, -0.059, 3.466]], "species": ["Cr", "Cu", "Mg", "Cr"], "frac_coords": [[0.000, 0.000, 0.488], [0.500, 0.500, 0.250], [0.500, 0.500, 0.750], [0.000, 0.000, 0.012]]}